Entry 1:
Below is an optimized crystal structure of Tl2FePb, with properties calculated at the GGA-PBEsol level.

Results
- space group = Immm (71)
- density of states at the Fermi level (states/eV per cell) = 3.8
- total DFT energy (no corrections) (eV per atom) = -4.150
- crystal system = orthorhombic
- E above lowest polymorph (kJ/mol of atoms) = 2.4

abc: 3.1195 4.4500 7.4436
angles: 107.39 102.10 90.00
With the nearest neighbours (Å) after each atom.
Fractional positions:
Pb (0.0000, 0.5000, 0.0000)  4 Fe 2.72
Fe (0.5000, 0.0000, 0.0000)  4 Pb 2.72, 4 Tl 2.95
Tl (0.8192, 0.8192, 0.6384)  2 Fe 2.95, 2 Tl 3.12
Tl (0.1808, 0.1808, 0.3616)  2 Fe 2.95, 2 Tl 3.12

Entry 2:
Below is an optimized crystal structure of TlFePb2, with properties calculated at the GGA-PBEsol level.

Results
- space group = Imm2 (44)
- density of states at the Fermi level (states/eV per cell) = 3.4
- total DFT energy (no corrections) (eV per atom) = -4.505
- crystal system = orthorhombic
- E above lowest polymorph (kJ/mol of atoms) = 0.0

abc: 3.1645 4.4983 7.4080
angles: 107.67 102.33 90.00
With the nearest neighbours (Å) after each atom.
Fractional positions:
Pb (0.7474, 0.2474, 0.4947)  4 Fe 2.75
Pb (0.9292, 0.9292, 0.8584)  2 Fe 2.89, 2 Pb 3.16
Fe (0.2537, 0.7537, 0.5075)  6 Pb 2.75-2.89, 2 Tl 2.99
Tl (0.5697, 0.5697, 0.1395)  2 Fe 2.99, 2 Tl 3.16, 2 Pb 3.32

Entry 3:
Below is an optimized crystal structure of TlFe2Pb, with properties calculated at the GGA-PBEsol level.

Results
- space group = P2/m (10)
- density of states at the Fermi level (states/eV per cell) = 3.8
- total DFT energy (no corrections) (eV per atom) = -5.467
- crystal system = monoclinic

abc: 3.2778 3.5746 6.7528
angles: 107.89 90.00 90.00
With the nearest neighbours (Å) after each atom.
Fractional positions:
Fe (0.0000, 0.8817, 0.8114)  1 Fe 2.42, 2 Tl 2.69
Fe (0.0000, 0.1183, 0.1886)  1 Fe 2.42, 2 Tl 2.69
Pb (0.5000, 0.0000, 0.5000)  4 Fe 2.80
Tl (0.5000, 0.5000, 0.0000)  8 Fe 2.69-2.73

Entry 4:
Below is an optimized crystal structure of FePb2W, with properties calculated at the GGA-PBEsol level.

Results
- space group = C2/m (12)
- density of states at the Fermi level (states/eV per cell) = 4.1
- total DFT energy (no corrections) (eV per atom) = -6.618
- crystal system = monoclinic

abc: 3.0416 5.4301 5.4301
angles: 110.15 102.63 102.63
With the nearest neighbours (Å) after each atom.
Fractional positions:
W (0.5000, 0.0000, 0.0000)  4 Pb 2.81, 2 W 3.04, 2 Fe 3.11
Pb (0.0000, 0.0000, 0.5000)  2 Fe 2.81, 2 W 2.81, 4 Pb 3.04-3.11
Pb (0.0000, 0.5000, 0.0000)  2 W 2.81, 2 Fe 2.81, 4 Pb 3.04-3.11
Fe (0.5000, 0.5000, 0.5000)  4 Pb 2.81, 2 Fe 3.04, 2 W 3.11

Entry 5:
Below is an optimized crystal structure of Y3FePb, with properties calculated at the GGA-PBEsol level.

Results
- space group = Pm-3m (221)
- density of states at the Fermi level (states/eV per cell) = 3.4
- total DFT energy (no corrections) (eV per atom) = -6.821
- crystal system = cubic

abc: 5.0497 5.0497 5.0497
angles: 90.00 90.00 90.00
With the nearest neighbours (Å) after each atom.
Fractional positions:
Y (0.5000, 0.0000, 0.0000)  2 Fe 2.52
Y (0.0000, 0.0000, 0.5000)  2 Fe 2.52
Y (0.0000, 0.5000, 0.0000)  2 Fe 2.52
Pb (0.5000, 0.5000, 0.5000)  12 Y 3.57
Fe (0.0000, 0.0000, 0.0000)  6 Y 2.52

Entry 6:
Below is an optimized crystal structure of YFePb, with properties calculated at the GGA-PBEsol level.

Results
- space group = F-43m (216)
- density of states at the Fermi level (states/eV per cell) = 4.1
- total DFT energy (no corrections) (eV per atom) = -6.265
- crystal system = cubic

abc: 4.7402 4.7402 4.7402
angles: 60.00 60.00 60.00
With the nearest neighbours (Å) after each atom.
Fractional positions:
Y (0.0000, 0.0000, 0.0000)  4 Pb 2.90
Fe (0.5000, 0.5000, 0.5000)  4 Pb 2.90
Pb (0.2500, 0.2500, 0.2500)  4 Fe 2.90, 4 Y 2.90

Entry 7:
Below is an optimized crystal structure of YFePb2, with properties calculated at the GGA-PBEsol level.

Results
- space group = P4/mmm (123)
- density of states at the Fermi level (states/eV per cell) = 4.0
- total DFT energy (no corrections) (eV per atom) = -5.819
- crystal system = tetragonal

abc: 3.3880 3.3880 7.5267
angles: 90.00 90.00 90.00
With the nearest neighbours (Å) after each atom.
Fractional positions:
Y (0.5000, 0.5000, 0.0000)  8 Pb 3.25, 4 Y 3.39
Pb (0.0000, 0.0000, 0.7082)  4 Fe 2.86, 1 Pb 3.13
Pb (0.0000, 0.0000, 0.2918)  4 Fe 2.86, 1 Pb 3.13
Fe (0.5000, 0.5000, 0.5000)  8 Pb 2.86

Entry 8:
Below is an optimized crystal structure of ZnFePb2, with properties calculated at the GGA-PBEsol level.

Results
- space group = Cmmm (65)
- density of states at the Fermi level (states/eV per cell) = 4.0
- total DFT energy (no corrections) (eV per atom) = -4.118
- crystal system = orthorhombic

abc: 3.2664 5.0106 5.0106
angles: 90.14 90.00 90.00
With the nearest neighbours (Å) after each atom.
Fractional positions:
Pb (0.0000, 0.0000, 0.5000)  4 Fe 2.99, 4 Zn 2.99, 2 Pb 3.27
Pb (0.0000, 0.5000, 0.0000)  4 Zn 2.99, 4 Fe 2.99, 2 Pb 3.27
Zn (0.5000, 0.0000, 0.0000)  8 Pb 2.99, 2 Zn 3.27
Fe (0.5000, 0.5000, 0.5000)  8 Pb 2.99, 2 Fe 3.27